# 1
Here is crystalline Ca2PAu at its relaxed geometry from Alexandria via LeMat-Bulk. Energies are from GGA-PBE.

Cell and atoms, written as POSCAR:
```
Ca2PAu
1.0
3.606 0.000 0.000
0.000 3.496 0.000
0.000 0.000 7.261
Ca P Au
2 1 1
Cartesian
0.000 0.000 3.461
0.000 0.000 0.169
1.803 1.748 1.815
1.803 1.748 5.445
```

Raw total energy (eV per atom): -4.029
Space-group type: Pmmm, No. 47
Spin magnetization (Bohr magnetons per cell): 0.0
Fermi-level density of states (states/eV/cell): 1.213

---

# 2
Here is crystalline Ca4P2Au at its relaxed geometry from Alexandria via LeMat-Bulk. Energies are from GGA-PBE.

Cell and atoms, written as POSCAR:
```
Ca4P2Au
1.0
4.504 0.000 0.000
2.252 3.901 0.000
2.252 1.300 10.997
Ca Au P
4 1 2
Cartesian
2.252 1.300 7.214
6.756 3.901 9.874
6.756 3.901 3.783
2.252 1.300 1.123
4.504 2.600 5.498
4.504 2.600 2.052
4.504 2.600 8.945
```

Raw total energy (eV per atom): -4.088
Space-group type: R-3m, No. 166
Spin magnetization (Bohr magnetons per cell): 0.0
Fermi-level density of states (states/eV/cell): 2.591

---

# 3
Here is crystalline CaPAu2 at its relaxed geometry from Alexandria via LeMat-Bulk. Energies are from GGA-PBE.

Cell and atoms, written as POSCAR:
```
CaPAu2
1.0
-4.073 -1.392 -2.675
2.739 0.173 -4.260
1.289 -8.158 -2.518
Au P Ca
4 2 2
Cartesian
0.989 -2.288 -3.978
0.827 -6.553 -5.050
-1.345 -2.704 -2.482
-0.561 -7.207 -7.395
1.680 -4.297 -5.123
-0.667 -0.609 -3.467
-1.725 -5.080 -4.330
0.000 0.000 0.000
```

Raw total energy (eV per atom): -3.870
Space-group type: I-42d, No. 122
Spin magnetization (Bohr magnetons per cell): 0.0
Fermi-level density of states (states/eV/cell): 5.060

---

# 4
Here is crystalline CaPAu2 at its relaxed geometry from Alexandria via LeMat-Bulk. Energies are from GGA-PBE.

Cell and atoms, written as POSCAR:
```
CaPAu2
1.0
5.966 0.044 0.028
4.389 4.040 0.028
4.389 1.731 3.651
Au Ca P
2 1 1
Cartesian
6.945 2.740 1.746
0.427 0.168 0.107
3.686 1.454 0.927
11.058 4.362 2.780
```

Raw total energy (eV per atom): -3.847
Space-group type: R-3m, No. 166
Spin magnetization (Bohr magnetons per cell): 0.0
Fermi-level density of states (states/eV/cell): 2.300

---

# 5
Here is crystalline Ca2PAu at its relaxed geometry from Alexandria via LeMat-Bulk. Energies are from GGA-PBE.

Cell and atoms, written as POSCAR:
```
Ca2PAu
1.0
-0.282 -3.929 1.572
3.467 -1.118 -2.172
3.366 1.582 4.559
P Ca Au
1 2 1
Cartesian
1.262 0.593 1.709
2.944 1.384 3.988
2.855 -1.930 1.410
4.539 -1.139 3.691
```

Raw total energy (eV per atom): -3.995
Space-group type: P4/mmm, No. 123
Spin magnetization (Bohr magnetons per cell): 0.0
Fermi-level density of states (states/eV/cell): 0.987

---

# 6
Here is crystalline Ca2P2Au at its relaxed geometry from Alexandria via LeMat-Bulk. Energies are from GGA-PBE.

Cell and atoms, written as POSCAR:
```
Ca2P2Au
1.0
5.407 0.000 0.000
0.000 5.407 0.000
2.704 2.704 4.257
Ca Au P
2 1 2
Cartesian
5.407 2.704 2.129
2.704 5.407 2.129
0.000 0.000 0.000
2.704 2.704 1.080
5.407 5.407 3.177
```

Raw total energy (eV per atom): -4.206
Space-group type: I4/mmm, No. 139
Energy above the most stable polymorph in this dataset (eV/atom): 0.301
Spin magnetization (Bohr magnetons per cell): 0.9
Fermi-level density of states (states/eV/cell): 3.620

---

# 7
Here is crystalline CaP2Au at its relaxed geometry from Alexandria via LeMat-Bulk. Energies are from GGA-PBE.

Cell and atoms, written as POSCAR:
```
CaP2Au
1.0
-3.887 -0.112 -0.749
1.113 -0.117 3.799
-0.235 6.364 0.265
Au P Ca
1 2 1
Cartesian
-1.446 1.476 1.592
-0.106 2.885 0.120
-0.011 0.297 0.012
-1.563 4.658 1.724
```

Raw total energy (eV per atom): -4.217
Space-group type: Cmmm, No. 65
Energy above the most stable polymorph in this dataset (eV/atom): 0.342
Spin magnetization (Bohr magnetons per cell): 0.0
Fermi-level density of states (states/eV/cell): 2.237

---

# 8
Here is crystalline CaP2Au at its relaxed geometry from Alexandria via LeMat-Bulk. Energies are from GGA-PBE.

Cell and atoms, written as POSCAR:
```
CaP2Au
1.0
-0.665 -3.258 0.169
2.597 -0.789 -1.928
4.105 -0.539 5.751
Au P Ca
1 2 1
Cartesian
2.043 -0.268 2.862
0.280 -0.037 0.392
1.689 -2.118 0.133
4.079 -2.432 3.482
```

Raw total energy (eV per atom): -4.244
Space-group type: Cmm2, No. 35
Energy above the most stable polymorph in this dataset (eV/atom): 0.315
Spin magnetization (Bohr magnetons per cell): 0.0
Fermi-level density of states (states/eV/cell): 0.810

---

# 9
Here is crystalline Ca2PAu at its relaxed geometry from Alexandria via LeMat-Bulk. Energies are from GGA-PBE.

Cell and atoms, written as POSCAR:
```
Ca2PAu
1.0
-3.028 -4.611 -1.885
-1.528 -5.325 1.814
-3.585 1.632 1.769
Ca P Au
2 1 1
Cartesian
-0.506 0.077 0.220
-5.584 -6.272 1.053
-4.329 -3.533 1.073
-1.793 -2.728 0.200
```

Raw total energy (eV per atom): -4.094
Space-group type: Amm2, No. 38
Spin magnetization (Bohr magnetons per cell): 0.0
Fermi-level density of states (states/eV/cell): 1.011

---

# 10
Here is crystalline CaP2Au at its relaxed geometry from Alexandria via LeMat-Bulk. Energies are from GGA-PBE.

Cell and atoms, written as POSCAR:
```
CaP2Au
1.0
5.489 0.118 0.000
2.348 4.962 0.000
-3.918 -2.540 2.887
Ca P Au
1 2 1
Cartesian
2.744 0.059 1.443
0.000 0.000 0.000
3.918 2.540 0.000
1.174 2.481 1.443
```

Raw total energy (eV per atom): -4.056
Space-group type: I4/mmm, No. 139
Energy above the most stable polymorph in this dataset (eV/atom): 0.503
Spin magnetization (Bohr magnetons per cell): 0.0
Fermi-level density of states (states/eV/cell): 2.193

---

# 11
Here is crystalline CaP2Au at its relaxed geometry from Alexandria via LeMat-Bulk. Energies are from GGA-PBE.

Cell and atoms, written as POSCAR:
```
CaP2Au
1.0
5.467 0.001 0.000
2.530 4.847 0.000
-3.998 -2.424 2.833
P Ca Au
2 1 1
Cartesian
0.000 0.000 0.000
1.265 2.423 1.417
2.734 0.001 1.417
3.998 2.424 0.000
```

Raw total energy (eV per atom): -4.201
Space-group type: I-4m2, No. 119
Energy above the most stable polymorph in this dataset (eV/atom): 0.358
Spin magnetization (Bohr magnetons per cell): 0.0
Fermi-level density of states (states/eV/cell): 1.397

---

# 12
Here is crystalline Ca2PAu at its relaxed geometry from Alexandria via LeMat-Bulk. Energies are from GGA-PBE.

Cell and atoms, written as POSCAR:
```
Ca2PAu
1.0
5.037 -0.001 -0.006
-5.029 6.197 -0.005
0.005 2.108 2.931
Au Ca P
1 2 1
Cartesian
2.521 1.054 1.463
0.000 0.000 0.000
-2.512 4.153 1.463
0.004 3.098 -0.006
```

Raw total energy (eV per atom): -4.036
Space-group type: P4/mmm, No. 123
Spin magnetization (Bohr magnetons per cell): 0.0
Fermi-level density of states (states/eV/cell): 0.380

---

| no. | E_form (eV per atom) |
| --- | --- |
| 1 | -0.8565 |
| 2 | -0.9304 |
| 3 | -0.3781 |
| 4 | -0.3551 |
| 5 | -0.8220 |
| 6 | -0.5855 |
| 7 | -0.1926 |
| 8 | -0.2193 |
| 9 | -0.9216 |
| 10 | -0.0313 |
| 11 | -0.1762 |
| 12 | -0.8630 |